DFT (GGA-PBE) results for a geometry-optimized CrPd5 structure.

spin magnetization: 2.24 μB per formula unit
calculated total energy: -34.942 eV/f.u.
Fermi-level density of states: 1.236 states/eV per atom
energy of formation from the pure elements: 0.108 eV per atom

abc: 6.0525 6.0525 6.7510
angles: 116.63 116.63 90.00
Last column: nearest neighbours and their distance in Å.
Element x y z (fractional)
Pd 0.0000 0.0000 0.0000  2 Cr 2.61, 8 Pd 2.71
Pd 0.5156 0.7052 0.7208  2 Cr 2.56, 4 Pd 2.66-2.82
Pd 0.9844 0.4844 0.2792  2 Cr 2.56, 4 Pd 2.66-2.82
Pd 0.5000 0.5000 0.0000  2 Cr 2.61, 8 Pd 2.71
Pd 0.2948 0.7948 0.2792  2 Cr 2.56, 4 Pd 2.66-2.82
Pd 0.7052 0.2052 0.7208  2 Cr 2.56, 4 Pd 2.66-2.82
Pd 0.2052 0.0156 0.7208  2 Cr 2.56, 4 Pd 2.66-2.82
Pd 0.7948 0.9844 0.2792  2 Cr 2.56, 4 Pd 2.66-2.82
Cr 0.2500 0.2500 0.5000  10 Pd 2.56-2.61
Cr 0.7500 0.7500 0.5000  10 Pd 2.56-2.61
Pd 0.0156 0.5156 0.7208  2 Cr 2.56, 4 Pd 2.66-2.82
Pd 0.4844 0.2948 0.2792  2 Cr 2.56, 4 Pd 2.66-2.82